1.
{
  "formula": "HfThCu",
  "functional": "GGA-PBE",
  "state": "relaxed",
  "e_tot_ev_per_atom": -6.703,
  "e_above_lowest_polymorph_mev_per_atom": 0,
  "delta_e_f_kj_per_mol_atoms": 31.36,
  "lattice_angstrom": [[6.641, 0.000, 0.000], [0.000, 6.641, 0.000], [0.000, 0.000, 6.641]],
  "species": ["Hf", "Hf", "Hf", "Hf", "Th", "Th", "Th", "Th", "Cu", "Cu", "Cu", "Cu"],
  "fractional_positions": [[0.000, 0.000, 0.000], [0.000, 0.500, 0.500], [0.500, 0.000, 0.500], [0.500, 0.500, 0.000], [0.000, 0.000, 0.500], [0.000, 0.500, 0.000], [0.500, 0.000, 0.000], [0.500, 0.500, 0.500], [0.250, 0.250, 0.250], [0.250, 0.750, 0.750], [0.750, 0.250, 0.750], [0.750, 0.750, 0.250]]
}

***

2.
{
  "formula": "TaAlFeCu",
  "functional": "GGA-PBE",
  "state": "relaxed",
  "e_tot_ev_per_atom": -6.902,
  "e_above_lowest_polymorph_mev_per_atom": 188,
  "lattice_angstrom": [[6.045, 0.000, 0.000], [0.000, 6.045, 0.000], [0.000, 0.000, 6.045]],
  "species": ["Ta", "Ta", "Ta", "Ta", "Al", "Al", "Al", "Al", "Fe", "Fe", "Fe", "Fe", "Cu", "Cu", "Cu", "Cu"],
  "fractional_positions": [[0.000, 0.000, 0.000], [0.000, 0.500, 0.500], [0.500, 0.000, 0.500], [0.500, 0.500, 0.000], [0.250, 0.250, 0.250], [0.250, 0.750, 0.750], [0.750, 0.250, 0.750], [0.750, 0.750, 0.250], [0.250, 0.250, 0.750], [0.250, 0.750, 0.250], [0.750, 0.250, 0.250], [0.750, 0.750, 0.750], [0.000, 0.000, 0.500], [0.000, 0.500, 0.000], [0.500, 0.000, 0.000], [0.500, 0.500, 0.500]]
}

***

3.
{
  "formula": "ZnAgPO4",
  "functional": "GGA-PBE",
  "state": "relaxed",
  "e_tot_ev_per_atom": -5.811,
  "lattice_angstrom": [[5.122, 0.000, 0.000], [0.000, 10.386, 0.000], [-5.077, 0.000, 7.352]],
  "species": ["Zn", "Zn", "Zn", "Zn", "Ag", "Ag", "Ag", "Ag", "P", "P", "P", "P", "O", "O", "O", "O", "O", "O", "O", "O", "O", "O", "O", "O", "O", "O", "O", "O"],
  "fractional_positions": [[0.161, 0.159, 0.476], [0.161, 0.341, 0.976], [0.839, 0.659, 0.024], [0.839, 0.841, 0.524], [0.318, 0.601, 0.520], [0.318, 0.899, 0.020], [0.682, 0.101, 0.980], [0.682, 0.399, 0.480], [0.108, 0.605, 0.792], [0.108, 0.895, 0.292], [0.892, 0.105, 0.708], [0.892, 0.395, 0.208], [0.015, 0.040, 0.275], [0.015, 0.460, 0.775], [0.151, 0.665, 0.963], [0.151, 0.835, 0.463], [0.162, 0.169, 0.888], [0.162, 0.331, 0.388], [0.422, 0.621, 0.807], [0.422, 0.879, 0.307], [0.578, 0.121, 0.693], [0.578, 0.379, 0.193], [0.838, 0.669, 0.612], [0.838, 0.831, 0.112], [0.849, 0.165, 0.537], [0.849, 0.335, 0.037], [0.985, 0.540, 0.225], [0.985, 0.960, 0.725]]
}

***

4.
{
  "formula": "SrMgZnGa2",
  "functional": "GGA-PBE",
  "state": "relaxed",
  "e_tot_ev_per_atom": -2.458,
  "lattice_angstrom": [[4.427, 0.000, 0.000], [0.000, 4.427, 0.000], [0.000, 0.000, 11.275]],
  "species": ["Sr", "Sr", "Mg", "Mg", "Zn", "Zn", "Ga", "Ga", "Ga", "Ga"],
  "fractional_positions": [[0.000, 0.000, 0.000], [0.500, 0.500, 0.500], [0.000, 0.500, 0.250], [0.500, 0.000, 0.750], [0.000, 0.500, 0.750], [0.500, 0.000, 0.250], [0.000, 0.000, 0.387], [0.000, 0.000, 0.613], [0.500, 0.500, 0.113], [0.500, 0.500, 0.887]]
}

***

5.
{
  "formula": "GdTmMgCo2",
  "functional": "GGA-PBE",
  "state": "relaxed",
  "e_tot_ev_per_atom": -5.170,
  "lattice_angstrom": [[4.175, 0.000, 0.000], [0.000, 5.630, 0.000], [0.000, 0.000, 8.180]],
  "species": ["Gd", "Gd", "Tm", "Tm", "Mg", "Mg", "Co", "Co", "Co", "Co"],
  "fractional_positions": [[0.000, 0.000, 0.000], [0.500, 0.500, 0.500], [0.000, 0.000, 0.584], [0.500, 0.500, 0.084], [0.000, 0.500, 0.792], [0.500, 0.000, 0.292], [0.000, 0.300, 0.291], [0.000, 0.700, 0.291], [0.500, 0.200, 0.791], [0.500, 0.800, 0.791]]
}

***

6.
{
  "formula": "SrFe2Te3",
  "functional": "GGA-PBE",
  "state": "relaxed",
  "e_tot_ev_per_atom": -4.983,
  "lattice_angstrom": [[2.042, -7.340, 0.000], [2.042, 7.340, 0.000], [0.000, 0.000, 10.115]],
  "species": ["Sr", "Sr", "Fe", "Fe", "Fe", "Fe", "Te", "Te", "Te", "Te", "Te", "Te"],
  "fractional_positions": [[0.236, 0.764, 0.750], [0.764, 0.236, 0.250], [0.000, 0.000, 0.000], [0.000, 0.000, 0.500], [0.465, 0.535, 0.250], [0.535, 0.465, 0.750], [0.073, 0.927, 0.250], [0.369, 0.631, 0.036], [0.369, 0.631, 0.464], [0.631, 0.369, 0.536], [0.631, 0.369, 0.964], [0.927, 0.073, 0.750]]
}

***

7.
{
  "formula": "Pr4I2BrNCl2",
  "functional": "GGA-PBE",
  "state": "relaxed",
  "e_tot_ev_per_atom": -5.187,
  "lattice_angstrom": [[9.394, -1.971, 0.000], [9.394, 1.971, 0.000], [-1.573, 0.000, 8.252]],
  "species": ["Pr", "Pr", "Pr", "Pr", "I", "I", "Br", "N", "Cl", "Cl"],
  "fractional_positions": [[0.002, 0.002, 0.297], [0.366, 0.366, 0.432], [0.634, 0.634, 0.568], [0.998, 0.998, 0.703], [0.175, 0.175, 0.298], [0.825, 0.825, 0.702], [0.500, 0.500, 0.000], [0.500, 0.500, 0.500], [0.150, 0.150, 0.819], [0.850, 0.850, 0.181]]
}

***

8.
{
  "formula": "YCdCoSb",
  "functional": "GGA-PBE",
  "state": "relaxed",
  "e_tot_ev_per_atom": -4.670,
  "e_above_lowest_polymorph_mev_per_atom": 31,
  "lattice_angstrom": [[6.891, 0.000, 0.000], [0.000, 6.891, 0.000], [0.000, 0.000, 6.891]],
  "species": ["Y", "Y", "Y", "Y", "Cd", "Cd", "Cd", "Cd", "Co", "Co", "Co", "Co", "Sb", "Sb", "Sb", "Sb"],
  "fractional_positions": [[0.000, 0.000, 0.000], [0.000, 0.500, 0.500], [0.500, 0.000, 0.500], [0.500, 0.500, 0.000], [0.250, 0.250, 0.250], [0.250, 0.750, 0.750], [0.750, 0.250, 0.750], [0.750, 0.750, 0.250], [0.250, 0.250, 0.750], [0.250, 0.750, 0.250], [0.750, 0.250, 0.250], [0.750, 0.750, 0.750], [0.000, 0.000, 0.500], [0.000, 0.500, 0.000], [0.500, 0.000, 0.000], [0.500, 0.500, 0.500]]
}